(1)
# LaBiTe (PBE-GGA, relaxed)
# Fermi-level density of states = 0.2055 states/eV per atom
# formation energy (no corrections) = -263 kJ/mol of formula units
# space group = No. 166
data_LaBiTe
_chemical_formula_sum 'La2 Bi2 Te2'
_symmetry_space_group_name_H-M 'P 1'
_symmetry_Int_Tables_number 1
_symmetry_space_group_name_Hall 'P 1'
_cell_length_a 10.0184
_cell_length_b 10.0184
_cell_length_c 10.0184
_cell_angle_alpha 30.25
_cell_angle_beta 30.25
_cell_angle_gamma 30.25
loop_
_atom_site_label
_atom_site_fract_x
_atom_site_fract_y
_atom_site_fract_z
La1 0.0914 0.0914 0.0914
La2 0.9086 0.9086 0.9086
Bi1 0.3476 0.3476 0.3476
Bi2 0.6524 0.6524 0.6524
Te1 0.2061 0.2061 0.2061
Te2 0.7939 0.7939 0.7939

=====

(2)
# LaBi2Te2 (PBE-GGA, relaxed)
# Fermi-level density of states = 0.8403 states/eV per atom
# formation energy (no corrections) = -117 kJ/mol of formula units
# E above lowest polymorph = 138 kJ/mol of formula units
# space group = No. 139
data_LaBi2Te2
_chemical_formula_sum 'La1 Bi2 Te2'
_symmetry_space_group_name_H-M 'P 1'
_symmetry_Int_Tables_number 1
_symmetry_space_group_name_Hall 'P 1'
_cell_length_a 6.5308
_cell_length_b 6.5308
_cell_length_c 6.5308
_cell_angle_alpha 122.82
_cell_angle_beta 122.82
_cell_angle_gamma 85.18
loop_
_atom_site_label
_atom_site_fract_x
_atom_site_fract_y
_atom_site_fract_z
La1 0.0000 0.0000 0.0000
Bi1 0.3314 0.3314 0.0000
Bi2 0.6686 0.6686 0.0000
Te1 0.2500 0.7500 0.5000
Te2 0.7500 0.2500 0.5000

=====

(3)
# La8Bi5Te (PBE-GGA, relaxed)
# Fermi-level density of states = 1.3038 states/eV per atom
# formation energy (no corrections) = -1340 kJ/mol of formula units
# space group = No. 82
data_La8Bi5Te
_chemical_formula_sum 'La8 Bi5 Te1'
_symmetry_space_group_name_H-M 'P 1'
_symmetry_Int_Tables_number 1
_symmetry_space_group_name_Hall 'P 1'
_cell_length_a 8.5203
_cell_length_b 8.5203
_cell_length_c 8.5203
_cell_angle_alpha 109.57
_cell_angle_beta 109.57
_cell_angle_gamma 109.27
loop_
_atom_site_label
_atom_site_fract_x
_atom_site_fract_y
_atom_site_fract_z
La1 0.0187 0.1256 0.7509
La2 0.2346 0.4784 0.6097
La3 0.3747 0.2678 0.2491
La4 0.3750 0.7654 0.2438
La5 0.5216 0.1313 0.7562
La6 0.7322 0.9813 0.1069
La7 0.8687 0.6250 0.3903
La8 0.8744 0.6253 0.8931
Bi1 0.0017 0.3769 0.1291
Bi2 0.1274 0.9983 0.3752
Bi3 0.2478 0.8726 0.8709
Bi4 0.6231 0.7522 0.6248
Bi5 0.7500 0.2500 0.5000
Te1 0.5000 0.5000 0.0000

=====

(4)
# La6Bi5Te (PBE-GGA, relaxed)
# Fermi-level density of states = 0.3138 states/eV per atom
# formation energy (no corrections) = -1350 kJ/mol of formula units
# space group = No. 12
data_La6Bi5Te
_chemical_formula_sum 'La6 Bi5 Te1'
_symmetry_space_group_name_H-M 'P 1'
_symmetry_Int_Tables_number 1
_symmetry_space_group_name_Hall 'P 1'
_cell_length_a 8.1151
_cell_length_b 8.1151
_cell_length_c 8.1167
_cell_angle_alpha 99.59
_cell_angle_beta 99.59
_cell_angle_gamma 119.98
loop_
_atom_site_label
_atom_site_fract_x
_atom_site_fract_y
_atom_site_fract_z
La1 0.0821 0.4164 0.7492
La2 0.2494 0.2494 0.2514
La3 0.4164 0.0821 0.7492
La4 0.5836 0.9179 0.2508
La5 0.7506 0.7506 0.7486
La6 0.9179 0.5836 0.2508
Bi1 0.0000 0.0000 0.5000
Bi2 0.1667 0.8333 0.0000
Bi3 0.3336 0.6664 0.5000
Bi4 0.6664 0.3336 0.5000
Bi5 0.8333 0.1667 0.0000
Te1 0.5000 0.5000 0.0000

=====

(5)
# LaBiTe3 (PBE-GGA, relaxed)
# formation energy (no corrections) = -385 kJ/mol of formula units
# E above lowest polymorph = 0 kJ/mol of formula units
# space group = No. 12
data_LaBiTe3
_chemical_formula_sum 'La2 Bi2 Te6'
_symmetry_space_group_name_H-M 'P 1'
_symmetry_Int_Tables_number 1
_symmetry_space_group_name_Hall 'P 1'
_cell_length_a 9.7131
_cell_length_b 9.7131
_cell_length_c 8.6525
_cell_angle_alpha 96.49
_cell_angle_beta 96.49
_cell_angle_gamma 27.49
loop_
_atom_site_label
_atom_site_fract_x
_atom_site_fract_y
_atom_site_fract_z
La1 0.2088 0.2088 0.2430
La2 0.7912 0.7912 0.7570
Bi1 0.4393 0.4393 0.2995
Bi2 0.5607 0.5607 0.7005
Te1 0.0315 0.0315 0.2178
Te2 0.1815 0.1815 0.6076
Te3 0.3383 0.3383 0.0086
Te4 0.6617 0.6617 0.9914
Te5 0.8185 0.8185 0.3924
Te6 0.9685 0.9685 0.7822

=====

(6)
# LaBi3Te (PBE-GGA, relaxed)
# Fermi-level density of states = 0.7074 states/eV per atom
# formation energy (no corrections) = 102 kJ/mol of formula units
# E above lowest polymorph = 0 kJ/mol of formula units
# space group = No. 221
data_LaBi3Te
_chemical_formula_sum 'La1 Bi3 Te1'
_symmetry_space_group_name_H-M 'P 1'
_symmetry_Int_Tables_number 1
_symmetry_space_group_name_Hall 'P 1'
_cell_length_a 5.8272
_cell_length_b 5.8272
_cell_length_c 5.8272
_cell_angle_alpha 90.00
_cell_angle_beta 90.00
_cell_angle_gamma 90.00
loop_
_atom_site_label
_atom_site_fract_x
_atom_site_fract_y
_atom_site_fract_z
La1 0.0000 0.0000 0.0000
Bi1 0.0000 0.5000 0.5000
Bi2 0.5000 0.0000 0.5000
Bi3 0.5000 0.5000 0.0000
Te1 0.5000 0.5000 0.5000

=====

(7)
# La2Bi2Te (PBE-GGA, relaxed)
# Fermi-level density of states = 0.5354 states/eV per atom
# formation energy (no corrections) = -474 kJ/mol of formula units
# E above lowest polymorph = 0 kJ/mol of formula units
# space group = No. 127
data_La2Bi2Te
_chemical_formula_sum 'La4 Bi4 Te2'
_symmetry_space_group_name_H-M 'P 1'
_symmetry_Int_Tables_number 1
_symmetry_space_group_name_Hall 'P 1'
_cell_length_a 8.6194
_cell_length_b 8.6194
_cell_length_c 4.6953
_cell_angle_alpha 90.00
_cell_angle_beta 90.00
_cell_angle_gamma 90.00
loop_
_atom_site_label
_atom_site_fract_x
_atom_site_fract_y
_atom_site_fract_z
La1 0.1757 0.3243 0.0000
La2 0.3243 0.8243 0.0000
La3 0.6757 0.1757 0.0000
La4 0.8243 0.6757 0.0000
Bi1 0.1239 0.6239 0.5000
Bi2 0.3761 0.1239 0.5000
Bi3 0.6239 0.8761 0.5000
Bi4 0.8761 0.3761 0.5000
Te1 0.0000 0.0000 0.0000
Te2 0.5000 0.5000 0.0000

=====

(8)
# LaBiTe3 (PBE-GGA, relaxed)
# Fermi-level density of states = 1.2130 states/eV per atom
# formation energy (no corrections) = -3 kJ/mol of formula units
# E above lowest polymorph = 382 kJ/mol of formula units
# space group = No. 221
data_LaBiTe3
_chemical_formula_sum 'La1 Bi1 Te3'
_symmetry_space_group_name_H-M 'P 1'
_symmetry_Int_Tables_number 1
_symmetry_space_group_name_Hall 'P 1'
_cell_length_a 6.1122
_cell_length_b 6.1122
_cell_length_c 6.1122
_cell_angle_alpha 90.00
_cell_angle_beta 90.00
_cell_angle_gamma 90.00
loop_
_atom_site_label
_atom_site_fract_x
_atom_site_fract_y
_atom_site_fract_z
La1 0.0000 0.0000 0.0000
Bi1 0.5000 0.5000 0.5000
Te1 0.0000 0.0000 0.5000
Te2 0.0000 0.5000 0.0000
Te3 0.5000 0.0000 0.0000

=====

(9)
# La4BiTe5 (PBE-GGA, relaxed)
# Fermi-level density of states = 0.5995 states/eV per atom
# formation energy (no corrections) = -1270 kJ/mol of formula units
# space group = No. 12
data_La4BiTe5
_chemical_formula_sum 'La4 Bi1 Te5'
_symmetry_space_group_name_H-M 'P 1'
_symmetry_Int_Tables_number 1
_symmetry_space_group_name_Hall 'P 1'
_cell_length_a 10.6647
_cell_length_b 10.6647
_cell_length_c 8.8478
_cell_angle_alpha 113.91
_cell_angle_beta 113.91
_cell_angle_gamma 25.69
loop_
_atom_site_label
_atom_site_fract_x
_atom_site_fract_y
_atom_site_fract_z
La1 0.0004 0.0004 0.2425
La2 0.9996 0.9996 0.7575
La3 0.2926 0.2926 0.2905
La4 0.7074 0.7074 0.7095
Bi1 0.5000 0.5000 0.5000
Te1 0.1673 0.1673 0.9072
Te2 0.1678 0.1678 0.4335
Te3 0.5000 0.5000 0.0000
Te4 0.8322 0.8322 0.5665
Te5 0.8327 0.8327 0.0928

=====

(10)
# La3BiTe6 (PBE-GGA, relaxed)
# formation energy (no corrections) = -1164 kJ/mol of formula units
# space group = No. 36
data_La3BiTe6
_chemical_formula_sum 'La6 Bi2 Te12'
_symmetry_space_group_name_H-M 'P 1'
_symmetry_Int_Tables_number 1
_symmetry_space_group_name_Hall 'P 1'
_cell_length_a 9.9438
_cell_length_b 9.9438
_cell_length_c 7.8402
_cell_angle_alpha 90.00
_cell_angle_beta 90.00
_cell_angle_gamma 102.84
loop_
_atom_site_label
_atom_site_fract_x
_atom_site_fract_y
_atom_site_fract_z
La1 0.0948 0.9052 0.5000
La2 0.2188 0.4163 0.3915
La3 0.4163 0.2188 0.8915
La4 0.5837 0.7812 0.3915
La5 0.7812 0.5837 0.8915
La6 0.9052 0.0948 0.0000
Bi1 0.3233 0.6767 0.8725
Bi2 0.6767 0.3233 0.3725
Te1 0.0648 0.5928 0.6729
Te2 0.1298 0.1995 0.6980
Te3 0.1995 0.1298 0.1980
Te4 0.2666 0.7334 0.2474
Te5 0.4072 0.9352 0.6729
Te6 0.4947 0.5053 0.6350
Te7 0.5053 0.4947 0.1350
Te8 0.5928 0.0648 0.1729
Te9 0.7334 0.2666 0.7474
Te10 0.8005 0.8702 0.6980
Te11 0.8702 0.8005 0.1980
Te12 0.9352 0.4072 0.1729